[1]
Below is an optimized crystal structure of SmLu3, with properties calculated at the PBEsol level.

The structure in CIF format:
```
data_SmLu3
_chemical_formula_sum 'Sm2 Lu6'
_cell_length_a 6.9829
_cell_length_b 6.9829
_cell_length_c 5.4685
_cell_angle_alpha 90.00
_cell_angle_beta 90.00
_cell_angle_gamma 120.00
_symmetry_space_group_name_H-M 'P 63/m m c'
_symmetry_Int_Tables_number 194
_symmetry_space_group_name_Hall '-P 6c 2c'
loop_
_atom_site_label
_atom_site_type_symbol
_atom_site_fract_x
_atom_site_fract_y
_atom_site_fract_z
Sm1 Sm 0.3333 0.6667 0.2500
Lu1 Lu 0.1652 0.3305 0.7500
```

Values from the calculation:
ΔH_f (0 K): 0.7 kJ per mole of atoms
Total DFT energy (no corrections): -39.36 eV for the cell shown


[2]
Below is an optimized crystal structure of LiPt2W, with properties calculated at the PBEsol level.

The structure in CIF format:
```
data_LiPt2W
_chemical_formula_sum 'Li1 Pt2 W1'
_cell_length_a 2.7968
_cell_length_b 2.7968
_cell_length_c 7.0905
_cell_angle_alpha 90.00
_cell_angle_beta 90.00
_cell_angle_gamma 90.00
_symmetry_space_group_name_H-M 'P 4/m m m'
_symmetry_Int_Tables_number 123
_symmetry_space_group_name_Hall '-P 4 2'
loop_
_atom_site_label
_atom_site_type_symbol
_atom_site_fract_x
_atom_site_fract_y
_atom_site_fract_z
Li1 Li 0.0000 0.0000 0.0000
Pt1 Pt 0.5000 0.5000 0.2363
W1 W 0.0000 0.0000 0.5000
```

Values from the calculation:
ΔH_f (0 K): -39.1 kJ per mole of atoms
Total DFT energy (no corrections): -31.32 eV for the cell shown


What total moment values result from the calculations? In sequence: 0.000 0.000 Bohr magnetons per cell.